# ThSc2Pd4 PBE relaxed
data_ThSc2Pd4
_chemical_formula_sum 'Th1 Sc2 Pd4'
_symmetry_space_group_name_H-M 'P 4/m m m'
_symmetry_Int_Tables_number 123
_symmetry_space_group_name_Hall '-P 4 2'
_cell_length_a 4.7175
_cell_length_b 4.7175
_cell_length_c 6.6425
_cell_angle_alpha 90.00
_cell_angle_beta 90.00
_cell_angle_gamma 90.00
loop_
_atom_site_label
_atom_site_fract_x
_atom_site_fract_y
_atom_site_fract_z
Th1 0.0000 0.0000 0.0000
Sc1 0.0000 0.0000 0.5000
Sc2 0.5000 0.5000 0.0000
Pd1 0.0000 0.5000 0.2684
# **Magnetization**: 0.00 μB/atom
# **Energy of formation from the pure elements**: -0.55 eV per atom

---

# Sm2YScIn2 PBE relaxed
data_Sm2YScIn2
_chemical_formula_sum 'Sm4 Y2 Sc2 In4'
_symmetry_space_group_name_H-M 'P m c 21'
_symmetry_Int_Tables_number 26
_symmetry_space_group_name_Hall 'P 2c -2'
_cell_length_a 5.3005
_cell_length_b 9.3174
_cell_length_c 6.7793
_cell_angle_alpha 90.00
_cell_angle_beta 90.00
_cell_angle_gamma 90.00
loop_
_atom_site_label
_atom_site_fract_x
_atom_site_fract_y
_atom_site_fract_z
Sm1 0.0000 0.0093 0.0000
Sm2 0.5000 0.1637 0.2604
Y1 0.5000 0.4917 0.9968
Sc1 0.0000 0.3299 0.7380
In1 0.0000 0.3505 0.2469
In2 0.5000 0.1803 0.7520
# **Magnetization**: 0.11 μB/atom
# **Energy of formation from the pure elements**: -0.35 eV per atom

---

# Er2MgSi3Pd4 PBE relaxed
data_Er2MgSi3Pd4
_chemical_formula_sum 'Er2 Mg1 Si3 Pd4'
_symmetry_space_group_name_H-M 'P -4 m 2'
_symmetry_Int_Tables_number 115
_symmetry_space_group_name_Hall 'P -4 -2'
_cell_length_a 4.1485
_cell_length_b 4.1485
_cell_length_c 10.3390
_cell_angle_alpha 90.00
_cell_angle_beta 90.00
_cell_angle_gamma 90.00
loop_
_atom_site_label
_atom_site_fract_x
_atom_site_fract_y
_atom_site_fract_z
Er1 0.0000 0.5000 0.2405
Mg1 0.0000 0.0000 0.5000
Si1 0.0000 0.5000 0.8702
Si2 0.5000 0.5000 0.5000
Pd1 0.0000 0.0000 0.0000
Pd2 0.0000 0.5000 0.6435
Pd3 0.5000 0.5000 0.0000
# **Magnetization**: 0.00 μB/atom
# **Formation energy from raw total energies**: -0.836 eV per atom

---

# Tb3LuFe PBE relaxed
data_Tb3LuFe
_chemical_formula_sum 'Tb3 Lu1 Fe1'
_symmetry_space_group_name_H-M 'P m -3 m'
_symmetry_Int_Tables_number 221
_symmetry_space_group_name_Hall '-P 4 2 3'
_cell_length_a 5.2606
_cell_length_b 5.2606
_cell_length_c 5.2606
_cell_angle_alpha 90.00
_cell_angle_beta 90.00
_cell_angle_gamma 90.00
loop_
_atom_site_label
_atom_site_fract_x
_atom_site_fract_y
_atom_site_fract_z
Tb1 0.0000 0.0000 0.5000
Lu1 0.5000 0.5000 0.5000
Fe1 0.0000 0.0000 0.0000
# **Magnetization**: 0.00 μB/atom
# **Energy of formation from the pure elements**: 0.15 eV per atom

---

# Pu7TeI12 PBE relaxed
data_Pu7TeI12
_chemical_formula_sum 'Pu21 Te3 I36'
_symmetry_space_group_name_H-M 'R -3'
_symmetry_Int_Tables_number 148
_symmetry_space_group_name_Hall '-R 3'
_cell_length_a 16.0892
_cell_length_b 16.0892
_cell_length_c 11.0726
_cell_angle_alpha 90.00
_cell_angle_beta 90.00
_cell_angle_gamma 120.00
loop_
_atom_site_label
_atom_site_fract_x
_atom_site_fract_y
_atom_site_fract_z
Pu1 0.0000 0.0000 0.0000
Pu2 0.0524 0.8731 0.3413
Te1 0.0000 0.0000 0.5000
I1 0.0210 0.4331 0.1667
I2 0.0523 0.8721 0.8302
# **Magnetization**: 1.52 μB/atom
# **Formation energy from raw total energies**: -1.025 eV per atom

---

# HoPu5Ir5 PBE relaxed
data_HoPu5Ir5
_chemical_formula_sum 'Ho2 Pu10 Ir10'
_symmetry_space_group_name_H-M 'C 1 2/m 1'
_symmetry_Int_Tables_number 12
_symmetry_space_group_name_Hall '-C 2y'
_cell_length_a 12.4533
_cell_length_b 5.5634
_cell_length_c 8.0150
_cell_angle_alpha 90.00
_cell_angle_beta 108.35
_cell_angle_gamma 90.00
loop_
_atom_site_label
_atom_site_fract_x
_atom_site_fract_y
_atom_site_fract_z
Ho1 0.0000 0.0000 0.0000
Pu1 0.0000 0.0000 0.5000
Pu2 0.1595 0.5000 0.3287
Pu3 0.1683 0.5000 0.8422
Ir1 0.0000 0.5000 0.0000
Ir2 0.1670 0.0000 0.8195
Ir3 0.1785 0.0000 0.3472
# **Magnetization**: 1.26 μB/atom
# **Energy of formation from the pure elements**: -0.31 eV per atom

---

# Fe2ReNi PBE relaxed
data_Fe2ReNi
_chemical_formula_sum 'Fe2 Re1 Ni1'
_symmetry_space_group_name_H-M 'P 4 m m'
_symmetry_Int_Tables_number 99
_symmetry_space_group_name_Hall 'P 4 -2'
_cell_length_a 2.6131
_cell_length_b 2.6131
_cell_length_c 7.1684
_cell_angle_alpha 90.00
_cell_angle_beta 90.00
_cell_angle_gamma 90.00
loop_
_atom_site_label
_atom_site_fract_x
_atom_site_fract_y
_atom_site_fract_z
Fe1 0.0000 0.0000 0.0000
Fe2 0.5000 0.5000 0.2413
Re1 0.5000 0.5000 0.7484
Ni1 0.0000 0.0000 0.4834
# **Magnetization**: 1.09 μB/atom
# **Energy of formation from the pure elements**: 0.07 eV per atom

---

# MoIr2Rh PBE relaxed
data_MoIr2Rh
_chemical_formula_sum 'Mo1 Ir2 Rh1'
_symmetry_space_group_name_H-M 'P 4 m m'
_symmetry_Int_Tables_number 99
_symmetry_space_group_name_Hall 'P 4 -2'
_cell_length_a 3.3311
_cell_length_b 3.3311
_cell_length_c 5.4509
_cell_angle_alpha 90.00
_cell_angle_beta 90.00
_cell_angle_gamma 90.00
loop_
_atom_site_label
_atom_site_fract_x
_atom_site_fract_y
_atom_site_fract_z
Mo1 0.0000 0.0000 0.0000
Ir1 0.0000 0.0000 0.5077
Ir2 0.5000 0.5000 0.7509
Rh1 0.5000 0.5000 0.2578
# **Magnetization**: 0.00 μB/atom
# **Energy of formation from the pure elements**: 0.14 eV per atom

---

# KOs PBE relaxed
data_KOs
_chemical_formula_sum 'K6 Os6'
_symmetry_space_group_name_H-M 'R -3 m'
_symmetry_Int_Tables_number 166
_symmetry_space_group_name_Hall '-R 3 2"'
_cell_length_a 2.9476
_cell_length_b 2.9476
_cell_length_c 35.7480
_cell_angle_alpha 90.00
_cell_angle_beta 90.00
_cell_angle_gamma 120.00
loop_
_atom_site_label
_atom_site_fract_x
_atom_site_fract_y
_atom_site_fract_z
K1 0.0000 0.0000 0.1092
Os1 0.0000 0.0000 0.3605
# **Magnetization**: 0.21 μB/atom
# **Energy of formation from the pure elements**: 1.23 eV per atom

---

# Sr6In2HgO PBE relaxed
data_Sr6In2HgO
_chemical_formula_sum 'Sr12 In4 Hg2 O2'
_symmetry_space_group_name_H-M 'P m m n'
_symmetry_Int_Tables_number 59
_cell_length_a 7.9378
_cell_length_b 11.2036
_cell_length_c 8.2329
_cell_angle_alpha 90.00
_cell_angle_beta 90.00
_cell_angle_gamma 90.00
loop_
_symmetry_equiv_pos_as_xyz
'x,y,z'
'-x,-y,-z'
'-x+1/2,-y+1/2,z'
'x+1/2,y+1/2,-z'
'x+1/2,-y,-z'
'-x+1/2,y,z'
'-x,y+1/2,-z'
'x,-y+1/2,z'
loop_
_atom_site_label
_atom_site_fract_x
_atom_site_fract_y
_atom_site_fract_z
Sr1 0.0101 0.2500 0.0536
Sr2 0.0200 0.2500 0.5043
Sr3 0.2500 0.0204 0.2806
In1 0.2500 0.5102 0.7277
Hg1 0.2500 0.7500 0.2211
O1 0.2500 0.2500 0.2647
# **Magnetization**: 0.00 μB/atom
# **Formation energy from raw total energies**: -0.631 eV per atom

---

# Li5Sn4 PBE relaxed
data_Li5Sn4
_chemical_formula_sum 'Li10 Sn8'
_symmetry_space_group_name_H-M 'C 1 2/m 1'
_symmetry_Int_Tables_number 12
_symmetry_space_group_name_Hall '-C 2y'
_cell_length_a 9.7645
_cell_length_b 4.2551
_cell_length_c 9.6818
_cell_angle_alpha 90.00
_cell_angle_beta 111.71
_cell_angle_gamma 90.00
loop_
_atom_site_label
_atom_site_fract_x
_atom_site_fract_y
_atom_site_fract_z
Li1 0.0000 0.0000 0.0000
Li2 0.0029 0.0000 0.3424
Li3 0.1694 0.5000 0.2166
Sn1 0.1584 0.5000 0.8921
Sn2 0.1719 0.5000 0.5668
# **Magnetization**: 0.00 μB/atom
# **Energy of formation from the pure elements**: -0.30 eV per atom

---

# RbHg3Te3 PBE relaxed
data_RbHg3Te3
_chemical_formula_sum 'Rb6 Hg18 Te18'
_symmetry_space_group_name_H-M 'R -3'
_symmetry_Int_Tables_number 148
_symmetry_space_group_name_Hall '-R 3'
_cell_length_a 8.6436
_cell_length_b 8.6436
_cell_length_c 26.0384
_cell_angle_alpha 90.00
_cell_angle_beta 90.00
_cell_angle_gamma 120.00
loop_
_atom_site_label
_atom_site_fract_x
_atom_site_fract_y
_atom_site_fract_z
Rb1 0.0000 0.0000 0.1664
Hg1 0.9999 0.3317 0.9504
Te1 0.9996 0.3321 0.7383
# **Magnetization**: 0.00 μB/atom
# **Formation energy from raw total energies**: -0.294 eV per atom

---

# SiP3 PBE relaxed
data_SiP3
_chemical_formula_sum 'Si1 P3'
_symmetry_space_group_name_H-M 'P m m 2'
_symmetry_Int_Tables_number 25
_symmetry_space_group_name_Hall 'P 2 -2'
_cell_length_a 3.1985
_cell_length_b 3.3260
_cell_length_c 5.6500
_cell_angle_alpha 90.00
_cell_angle_beta 90.00
_cell_angle_gamma 90.00
loop_
_atom_site_label
_atom_site_fract_x
_atom_site_fract_y
_atom_site_fract_z
Si1 0.0000 0.0000 0.0000
P1 0.0000 0.5000 0.5013
P2 0.5000 0.0000 0.6646
P3 0.5000 0.5000 0.1609
# **Magnetization**: 0.00 μB/atom
# **Formation energy from raw total energies**: 0.346 eV per atom

---

# ZnSe2Br PBE relaxed
data_ZnSe2Br
_chemical_formula_sum 'Zn2 Se4 Br2'
_symmetry_space_group_name_H-M 'I 4/m m m'
_symmetry_Int_Tables_number 139
_symmetry_space_group_name_Hall '-I 4 2'
_cell_length_a 5.6354
_cell_length_b 5.6354
_cell_length_c 5.7384
_cell_angle_alpha 90.00
_cell_angle_beta 90.00
_cell_angle_gamma 90.00
loop_
_atom_site_label
_atom_site_fract_x
_atom_site_fract_y
_atom_site_fract_z
Zn1 0.0000 0.0000 0.0000
Se1 0.0000 0.5000 0.0000
Br1 0.0000 0.0000 0.5000
# **Magnetization**: 0.00 μB/atom
# **Formation energy from raw total energies**: 0.061 eV per atom

---

# AcLa2Ag PBE relaxed
data_AcLa2Ag
_chemical_formula_sum 'Ac3 La6 Ag3'
_symmetry_space_group_name_H-M 'R 3 m'
_symmetry_Int_Tables_number 160
_symmetry_space_group_name_Hall 'R 3 -2"'
_cell_length_a 3.9196
_cell_length_b 3.9196
_cell_length_c 32.3933
_cell_angle_alpha 90.00
_cell_angle_beta 90.00
_cell_angle_gamma 120.00
loop_
_atom_site_label
_atom_site_fract_x
_atom_site_fract_y
_atom_site_fract_z
Ac1 0.0000 0.0000 0.0000
La1 0.0000 0.0000 0.5701
La2 0.0000 0.0000 0.7641
Ag1 0.0000 0.0000 0.1673
# **Magnetization**: 0.00 μB/atom
# **Energy of formation from the pure elements**: 0.00 eV per atom

---

# MnBeNb PBE relaxed
data_MnBeNb
_chemical_formula_sum 'Mn2 Be2 Nb2'
_symmetry_space_group_name_H-M 'I 4 m m'
_symmetry_Int_Tables_number 107
_symmetry_space_group_name_Hall 'I 4 -2'
_cell_length_a 3.0906
_cell_length_b 3.0906
_cell_length_c 7.9749
_cell_angle_alpha 90.00
_cell_angle_beta 90.00
_cell_angle_gamma 90.00
loop_
_atom_site_label
_atom_site_fract_x
_atom_site_fract_y
_atom_site_fract_z
Mn1 0.0000 0.0000 0.0000
Be1 0.0000 0.0000 0.6397
Nb1 0.0000 0.0000 0.3218
# **Magnetization**: 0.00 μB/atom
# **Energy of formation from the pure elements**: 0.01 eV per atom

---

# ScCdPb PBE relaxed
data_ScCdPb
_chemical_formula_sum 'Sc4 Cd4 Pb4'
_symmetry_space_group_name_H-M 'C m c m'
_symmetry_Int_Tables_number 63
_symmetry_space_group_name_Hall '-C 2c 2'
_cell_length_a 4.3833
_cell_length_b 15.6830
_cell_length_c 4.2473
_cell_angle_alpha 90.00
_cell_angle_beta 90.00
_cell_angle_gamma 90.00
loop_
_atom_site_label
_atom_site_fract_x
_atom_site_fract_y
_atom_site_fract_z
Sc1 0.0000 0.0878 0.2500
Cd1 0.0000 0.2547 0.7500
Pb1 0.0000 0.4193 0.2500
# **Magnetization**: 0.00 μB/atom
# **Energy of formation from the pure elements**: -0.23 eV per atom

---

# TbSm6Dy5 PBE relaxed
data_TbSm6Dy5
_chemical_formula_sum 'Tb2 Sm12 Dy10'
_symmetry_space_group_name_H-M 'I m m m'
_symmetry_Int_Tables_number 71
_symmetry_space_group_name_Hall '-I 2 2'
_cell_length_a 5.0717
_cell_length_b 10.1230
_cell_length_c 15.2250
_cell_angle_alpha 90.00
_cell_angle_beta 90.00
_cell_angle_gamma 90.00
loop_
_atom_site_label
_atom_site_fract_x
_atom_site_fract_y
_atom_site_fract_z
Tb1 0.0000 0.0000 0.0000
Sm1 0.0000 0.2502 0.1667
Sm2 0.0000 0.2497 0.5000
Dy1 0.0000 0.0000 0.3333
Dy2 0.0000 0.5000 0.0000
Dy3 0.0000 0.5000 0.3333
# **Magnetization**: 0.00 μB/atom
# **Energy of formation from the pure elements**: 0.02 eV per atom

---

# AgP3Pd PBE relaxed
data_AgP3Pd
_chemical_formula_sum 'Ag1 P3 Pd1'
_symmetry_space_group_name_H-M 'P m -3 m'
_symmetry_Int_Tables_number 221
_symmetry_space_group_name_Hall '-P 4 2 3'
_cell_length_a 4.7053
_cell_length_b 4.7053
_cell_length_c 4.7053
_cell_angle_alpha 90.00
_cell_angle_beta 90.00
_cell_angle_gamma 90.00
loop_
_atom_site_label
_atom_site_fract_x
_atom_site_fract_y
_atom_site_fract_z
Ag1 0.0000 0.0000 0.0000
P1 0.0000 0.5000 0.5000
Pd1 0.5000 0.5000 0.5000
# **Magnetization**: 0.00 μB/atom
# **Energy of formation from the pure elements**: 0.89 eV per atom

---

# LiCrHg2 PBE relaxed
data_LiCrHg2
_chemical_formula_sum 'Li1 Cr1 Hg2'
_symmetry_space_group_name_H-M 'P m m 2'
_symmetry_Int_Tables_number 25
_symmetry_space_group_name_Hall 'P 2 -2'
_cell_length_a 3.2336
_cell_length_b 4.2079
_cell_length_c 5.7524
_cell_angle_alpha 90.00
_cell_angle_beta 90.00
_cell_angle_gamma 90.00
loop_
_atom_site_label
_atom_site_fract_x
_atom_site_fract_y
_atom_site_fract_z
Li1 0.0000 0.0000 0.0000
Cr1 0.5000 0.5000 0.2959
Hg1 0.0000 0.0000 0.4761
Hg2 0.5000 0.5000 0.8079
# **Magnetization**: 0.99 μB/atom
# **Energy of formation from the pure elements**: 0.15 eV per atom